Here is a relaxed structure of RuSe2Br from Alexandria. Energies are from GGA-PBE.

ρ ... 6.75 Mg/m³
Formation energy without anion corrections ... 0.27 eV/atom

The structure in POSCAR format:
```
RuSe2Br
1.0
3.033 0.000 0.000
0.000 4.944 0.000
0.000 0.000 11.122
Ru Se Br
2 4 2
direct
0.000 0.000 0.000
0.500 0.500 0.500
0.000 0.500 0.318
0.000 0.500 0.682
0.500 0.000 0.182
0.500 0.000 0.818
0.000 0.000 0.500
0.500 0.500 0.000
```